## Al4AgBr (PBE)

Data for a geometry-optimized Al4AgBr structure.

a b c (Å): 5.565 5.565 5.565
angles (deg): 60.00 60.00 60.00
Element x y z (fractional)
Al 0.878 0.374 0.374
Al 0.374 0.374 0.878
Al 0.374 0.878 0.374
Al 0.374 0.374 0.374
Ag 0.000 0.000 0.000
Br 0.750 0.750 0.750

Computed properties:
The density of states at the Fermi level is 0.452 states/eV per atom. The calculation puts the total magnetic moment at 0.0 μB/f.u. The value obtained for the uncorrected formation energy is 0.262 eV/atom.